Density functional theory data (GGA-PBE) for a relaxed YErPdRu crystal.

Cell lengths 3.441, 3.441, 6.899 Å; angles 90.00, 90.00, 90.00 degrees
Fractional positions:
Y: 0.500 0.500 0.117
Ru: 0.000 0.000 0.362
Er: 0.500 0.500 0.598
Pd: 0.000 0.000 0.851

Calculated values
Total magnetization ... 0.00 μB per formula unit
Relative energy among the computed polymorphs ... 0 meV/atom